Arrangement A

The following is a PBE calculation of a relaxed structure of UPaAl2, from the Alexandria database.

Results
Size of the total moment   1.18 μB/f.u.
Fermi-level density of states   16.29 states/eV/cell

Unit cell a=2.9986 b=2.9986 c=31.7223 alpha=90.00 beta=90.00 gamma=120.00
With the nearest neighbours (Å) after each atom.
Space group R-3m (No. 166, hexagonal axes)
Unique sites:
U 0.0000 0.0000 0.0000 x3  6 U 3.00, 6 Al 3.14
Pa 0.0000 0.0000 0.5000 x3  6 Pa 3.00, 6 Al 3.18
Al 0.0000 0.0000 0.2508 x6  6 Al 3.00, 3 U 3.14, 3 Pa 3.18


Arrangement B

The following is a PBE calculation of a relaxed structure of UPaAl2, from the Alexandria database.

Results
Size of the total moment   2.33 μB/f.u.
Fermi-level density of states   7.92 states/eV/cell

Unit cell a=4.1746 b=4.1746 c=4.6589 alpha=90.00 beta=90.00 gamma=90.00
With the nearest neighbours (Å) after each atom.
Space group P4/mmm (No. 123)
Unique sites:
U 0.0000 0.0000 0.0000 x1  4 Pa 2.95, 8 Al 3.13
Pa 0.5000 0.5000 0.0000 x1  4 U 2.95, 8 Al 3.13
Al 0.0000 0.5000 0.5000 x2  4 Al 2.95, 4 Pa 3.13, 4 U 3.13


Going by the computed energies, the most stable comes first: arrangement B, arrangement A.